Here is a relaxed CsEr2AgSe4 crystal from Alexandria. Energies are from PBE.

Cell lengths 4.2351, 7.6010, 14.8441 Å; angles 90.00, 90.00, 106.18 degrees
Sites, in units of the cell vectors:
Cs (0.8824, 0.7647, 0.2500)
Cs (0.1176, 0.2353, 0.7500)
Se (0.0000, 0.0000, 0.5000)
Se (0.7435, 0.4869, 0.9037)
Se (0.2565, 0.5131, 0.4037)
Se (0.2565, 0.5131, 0.0963)
Se (0.0000, 0.0000, 0.0000)
Se (0.5642, 0.1283, 0.2500)
Se (0.7435, 0.4869, 0.5963)
Se (0.4358, 0.8717, 0.7500)
Er (0.6304, 0.2609, 0.4341)
Er (0.6304, 0.2609, 0.0659)
Er (0.3696, 0.7391, 0.5659)
Er (0.3696, 0.7391, 0.9341)
Ag (0.1674, 0.3347, 0.2500)
Ag (0.8326, 0.6653, 0.7500)

Calculated values
space-group type = Cmcm, No. 63
total DFT energy (no corrections) = -76.5 eV for the cell shown
total magnetic moment = 0.0 μB per cell
mass density = 6.4 g cm⁻³

---

Here is a relaxed CuMoAs2 crystal from Alexandria. Energies are from PBE.

Cell lengths 4.3390, 4.3390, 3.2510 Å; angles 90.00, 90.00, 90.02 degrees
Sites, in units of the cell vectors:
As (0.0000, 0.0000, 0.0000)
As (0.5000, 0.5000, 0.0000)
Cu (0.5000, 0.0000, 0.5000)
Mo (0.0000, 0.5000, 0.5000)

Calculated values
space-group type = P4/mmm, No. 123
distance to the lowest polymorph of the same formula = 19.2 kJ/mol of atoms
ΔH_f (0 K) = 0.728 eV per formula unit
total magnetic moment = 0.0 μB per cell
mass density = 8.4 g cm⁻³

---

Here is a relaxed SbTeBr3 crystal from Alexandria. Energies are from PBE.

Cell lengths 5.6632, 5.6632, 5.6632 Å; angles 90.00, 90.00, 90.00 degrees
Site moments in Bohr magnetons follow the coordinates.
Sites, in units of the cell vectors:
Te (0.5000, 0.5000, 0.5000)  1.08
Sb (0.0000, 0.0000, 0.0000)  -0.06
Br (0.0000, 0.0000, 0.5000)  0.09
Br (0.0000, 0.5000, 0.0000)  0.05
Br (0.5000, 0.0000, 0.0000)  0.06

Calculated values
space-group type = Pm-3m, No. 221
distance to the lowest polymorph of the same formula = 37.8 kJ/mol of atoms
total magnetic moment = 2.2 μB per cell
mass density = 4.5 g cm⁻³

---

Here is a relaxed Hf2GePd6 crystal from Alexandria. Energies are from PBE.

Cell lengths 3.7119, 7.0293, 7.5290 Å; angles 117.83, 104.43, 90.00 degrees
Sites, in units of the cell vectors:
Pd (0.8330, 0.0511, 0.6702)
Pd (0.1670, 0.9489, 0.3298)
Pd (0.1670, 0.3809, 0.3298)
Pd (0.8330, 0.6191, 0.6702)
Pd (0.5000, 0.7621, 0.0000)
Pd (0.5000, 0.2379, 0.0000)
Hf (0.3386, 0.3434, 0.6868)
Hf (0.6614, 0.6566, 0.3132)
Ge (0.0000, 0.0000, 0.0000)

Calculated values
space-group type = C2/m, No. 12
ΔH_f (0 K) = -4.385 eV per formula unit
total magnetic moment = 0.0 μB per cell
mass density = 10.6 g cm⁻³

---

Here is a relaxed Cs2K2Li crystal from Alexandria. Energies are from PBE.

Cell lengths 10.5097, 10.5097, 7.6014 Å; angles 90.00, 90.00, 90.00 degrees
Sites, in units of the cell vectors:
Cs (0.1544, 0.3456, 0.0000)
Cs (0.8456, 0.6544, 0.0000)
Cs (0.6544, 0.1544, 0.0000)
Cs (0.3456, 0.8456, 0.0000)
K (0.1678, 0.6678, 0.5000)
K (0.3322, 0.1678, 0.5000)
K (0.6678, 0.8322, 0.5000)
K (0.8322, 0.3322, 0.5000)
Li (0.0000, 0.0000, 0.0000)
Li (0.5000, 0.5000, 0.0000)

Calculated values
space-group type = P4/mbm, No. 127
distance to the lowest polymorph of the same formula = 7.4 kJ/mol of atoms
ΔH_f (0 K) = 0.965 eV per formula unit
total magnetic moment = 0.0 μB per cell
mass density = 1.4 g cm⁻³

---

Here is a relaxed Tb6BiRu2 crystal from Alexandria. Energies are from PBE.

Cell lengths 8.5912, 8.5912, 8.5912 Å; angles 105.26, 112.70, 110.54 degrees
Sites, in units of the cell vectors:
Tb (0.2133, 0.4514, 0.2381)
Tb (0.7867, 0.0248, 0.2381)
Tb (0.5326, 0.8185, 0.7141)
Tb (0.3146, 0.6698, 0.9844)
Tb (0.3146, 0.3302, 0.6448)
Tb (0.4674, 0.1815, 0.2859)
Tb (0.6854, 0.3302, 0.0156)
Tb (0.6854, 0.6698, 0.3552)
Tb (0.7867, 0.5486, 0.7619)
Tb (0.2133, 0.9752, 0.7619)
Tb (0.8956, 0.1815, 0.7141)
Tb (0.1044, 0.8185, 0.2859)
Ru (0.5000, 0.1264, 0.6264)
Ru (0.5000, 0.8736, 0.3736)
Ru (0.3314, 0.3314, 0.0000)
Ru (0.6686, 0.6686, 0.0000)
Bi (0.0000, 0.0000, 0.0000)
Bi (0.0000, 0.5000, 0.5000)

Calculated values
space-group type = Immm, No. 71
distance to the lowest polymorph of the same formula = 0.0 kJ/mol of atoms
ΔH_f (0 K) = -3.766 eV per formula unit
total magnetic moment = 0.0 μB per cell
mass density = 9.3 g cm⁻³

---

Please write out number 6 again, unchanged.
Here is a relaxed Tb6BiRu2 crystal from Alexandria. Energies are from PBE.

Cell lengths 8.5912, 8.5912, 8.5912 Å; angles 105.26, 112.70, 110.54 degrees
Sites, in units of the cell vectors:
Tb (0.2133, 0.4514, 0.2381)
Tb (0.7867, 0.0248, 0.2381)
Tb (0.5326, 0.8185, 0.7141)
Tb (0.3146, 0.6698, 0.9844)
Tb (0.3146, 0.3302, 0.6448)
Tb (0.4674, 0.1815, 0.2859)
Tb (0.6854, 0.3302, 0.0156)
Tb (0.6854, 0.6698, 0.3552)
Tb (0.7867, 0.5486, 0.7619)
Tb (0.2133, 0.9752, 0.7619)
Tb (0.8956, 0.1815, 0.7141)
Tb (0.1044, 0.8185, 0.2859)
Ru (0.5000, 0.1264, 0.6264)
Ru (0.5000, 0.8736, 0.3736)
Ru (0.3314, 0.3314, 0.0000)
Ru (0.6686, 0.6686, 0.0000)
Bi (0.0000, 0.0000, 0.0000)
Bi (0.0000, 0.5000, 0.5000)

Calculated values
space-group type = Immm, No. 71
distance to the lowest polymorph of the same formula = 0.0 kJ/mol of atoms
ΔH_f (0 K) = -3.766 eV per formula unit
total magnetic moment = 0.0 μB per cell
mass density = 9.3 g cm⁻³

---

Please write out number 3 again, unchanged.
Here is a relaxed SbTeBr3 crystal from Alexandria. Energies are from PBE.

Cell lengths 5.6632, 5.6632, 5.6632 Å; angles 90.00, 90.00, 90.00 degrees
Site moments in Bohr magnetons follow the coordinates.
Sites, in units of the cell vectors:
Te (0.5000, 0.5000, 0.5000)  1.08
Sb (0.0000, 0.0000, 0.0000)  -0.06
Br (0.0000, 0.0000, 0.5000)  0.09
Br (0.0000, 0.5000, 0.0000)  0.05
Br (0.5000, 0.0000, 0.0000)  0.06

Calculated values
space-group type = Pm-3m, No. 221
distance to the lowest polymorph of the same formula = 37.8 kJ/mol of atoms
total magnetic moment = 2.2 μB per cell
mass density = 4.5 g cm⁻³